LiNiAu2: optimized geometry, GGA-PBE.

Values from the calculation:
The calculation puts the energy of formation from the pure elements at -0.15 eV/atom. The mass density is 12.540 Mg/m³. The value obtained for the total energy is -14.8 eV for the cell shown.

abc: 2.7661 4.0744 5.3998
angles: 90.00 90.00 90.00
With the nearest neighbours (Å) after each atom.
Element x y z (fractional)
Li: 0.0000 0.0000 0.0000  5 Au 2.54-2.71, 2 Li 2.77
Ni: 0.5000 0.5000 0.2757  6 Au 2.62-2.78, 2 Ni 2.77, 4 Li 2.88
Au: 0.0000 0.0000 0.4709  1 Li 2.54, 4 Ni 2.68, 2 Au 2.77
Au: 0.5000 0.5000 0.7911  2 Ni 2.62-2.78, 4 Li 2.71, 2 Au 2.77

***

LiNi2Au: optimized geometry, GGA-PBE.

Values from the calculation:
The calculation puts the energy of formation from the pure elements at -0.02 eV/atom. The mass density is 10.268 Mg/m³. The value obtained for the total energy is -16.8 eV for the cell shown.

abc: 2.6268 4.3879 4.5290
angles: 90.00 95.52 90.00
With the nearest neighbours (Å) after each atom.
Element x y z (fractional)
Li: 0.0000 0.0000 0.0000  4 Au 2.51-2.72, 4 Ni 2.53, 2 Li 2.63
Ni: 0.2125 0.5000 0.7640  5 Ni 2.50-2.63, 2 Li 2.53, 2 Au 2.64
Ni: 0.7875 0.5000 0.2360  5 Ni 2.50-2.63, 2 Li 2.53, 2 Au 2.64
Au: 0.5000 0.0000 0.5000  4 Li 2.51-2.72, 2 Au 2.63, 4 Ni 2.64

***

no.,V (Å³ per cell)
1,60.9
2,52.0